# Ta4InOs PBEsol relaxed
data_Ta4InOs
_cell_length_a 5.324
_cell_length_b 5.324
_cell_length_c 5.324
_cell_angle_alpha 60.00
_cell_angle_beta 60.00
_cell_angle_gamma 60.00
_space_group_name_H-M_alt 'P 1'
_space_group_IT_number 1
loop_
_space_group_symop_operation_xyz
'x,y,z'
loop_
_atom_site_label
_atom_site_fract_x
_atom_site_fract_y
_atom_site_fract_z
Ta1 0.125 0.125 0.125
Ta2 0.125 0.125 0.624
Ta3 0.125 0.624 0.125
Ta4 0.624 0.125 0.125
In1 0.500 0.500 0.500
Os1 0.750 0.750 0.750
# E_form = 391 meV/atom
# E = -10.509 eV/atom